Crystalline Co3O2F4 at its relaxed geometry. Source: the Alexandria database, functional PBE with a Hubbard U.

Cell: 5.523 5.593 7.143 Å, 73.94 73.23 73.19°
Element x y z (fractional)
1 Co 0.000 0.000 0.000
2 Co 0.013 0.013 0.492
3 Co 0.305 0.329 0.155
4 Co 0.363 0.354 0.678
5 Co 0.684 0.666 0.837
6 Co 0.697 0.637 0.317
7 O 0.221 0.232 0.964
8 O 0.590 0.550 0.614
9 O 0.792 0.763 0.036
10 O 0.975 0.356 0.319
11 F 0.047 0.645 0.659
12 F 0.113 0.116 0.699
13 F 0.309 0.701 0.992
14 F 0.394 0.938 0.328
15 F 0.422 0.412 0.359
16 F 0.643 0.029 0.665
17 F 0.680 0.295 0.002
18 F 0.918 0.895 0.293

Calculated values
- Symmetry: P1 (1)
- D(E_F): 2.374 states/eV per cell
- Uncorrected energy: -46.75 eV/f.u.
- ΔE to the lowest computed polymorph: 21 meV/atom
- Calculated density: 4.8 Mg/m³